No. 1
# Sm2Sn4Pt3Rh | the Alexandria database | PBE | optimized geometry
# magnetic moment	0.00	μB/cell
# DFT total energy	-58.8	eV per cell
# D(E_F)	6.03	states/eV per cell
# calculated volume	22.22	A^3/atom
# energy relative to the elements	-791	meV/atom
data_Sm2Sn4Pt3Rh
_chemical_formula_sum 'Sm2 Sn4 Pt3 Rh1'
_cell_length_a 4.5036
_cell_length_b 4.5036
_cell_length_c 10.9530
_cell_angle_alpha 90.00
_cell_angle_beta 90.00
_cell_angle_gamma 90.00
_symmetry_space_group_name_H-M 'P -4 m 2'
_symmetry_Int_Tables_number 115
loop_
_symmetry_equiv_pos_as_xyz
'x,y,z'
'y,-x,-z'
'-x,-y,z'
'-y,x,-z'
'-x,y,z'
'-y,-x,-z'
'x,-y,z'
'y,x,-z'
loop_
_atom_site_label
_atom_site_fract_x
_atom_site_fract_y
_atom_site_fract_z
_atom_site_occupancy
Sm1 0.0000 0.5000 0.2405 1
Sn1 0.0000 0.0000 0.5000 1
Sn2 0.0000 0.5000 0.8717 1
Sn3 0.5000 0.5000 0.5000 1
Pt1 0.0000 0.0000 0.0000 1
Pt2 0.0000 0.5000 0.6353 1
Rh1 0.5000 0.5000 0.0000 1

---

No. 2
# NaGeB3 | the Alexandria database | PBE | optimized geometry
# magnetic moment	0.00	μB/cell
# DFT total energy	-17.5	eV per cell
# D(E_F)	2.70	states/eV per cell
# calculated volume	15.28	A^3/atom
# energy relative to the elements	1701	meV/atom
data_NaGeB3
_chemical_formula_sum 'Na1 Ge1 B3'
_cell_length_a 4.2436
_cell_length_b 4.2436
_cell_length_c 4.2436
_cell_angle_alpha 90.00
_cell_angle_beta 90.00
_cell_angle_gamma 90.00
_symmetry_space_group_name_H-M 'P m -3 m'
_symmetry_Int_Tables_number 221
_symmetry_space_group_name_Hall '-P 4 2 3'
loop_
_atom_site_label
_atom_site_fract_x
_atom_site_fract_y
_atom_site_fract_z
_atom_site_occupancy
Na1 0.0000 0.0000 0.0000 1
Ge1 0.5000 0.5000 0.5000 1
B1 0.0000 0.5000 0.5000 1